1.
{"formula": "Sc2TcC2", "functional": "PBE", "state": "relaxed", "delta_e_f_ev_per_atom": 0.5406, "dft_energy_ev_per_cell": -38.77, "polymorph_energy_mev_per_atom": 1009, "cell": [[-1.912, 1.912, 4.499], [1.912, -1.912, 4.499], [1.912, 1.912, -4.499]], "species": ["Sc", "Sc", "Tc", "C", "C"], "frac_coords": [[0.250, 0.750, 0.500], [0.750, 0.250, 0.500], [0.000, 0.000, 0.000], [0.424, 0.424, 0.000], [0.576, 0.576, 0.000]]}



2.
{"formula": "Na2PuCl5", "functional": "PBE", "state": "relaxed", "formation_energy_uncorrected_mev_per_atom": -1836, "dft_energy_ev_per_cell": -163.57, "cell": [[12.286, 0.000, 0.000], [0.000, 8.353, 0.000], [0.000, 0.000, 7.825]], "species": ["Na", "Na", "Na", "Na", "Na", "Na", "Na", "Na", "Pu", "Pu", "Pu", "Pu", "Cl", "Cl", "Cl", "Cl", "Cl", "Cl", "Cl", "Cl", "Cl", "Cl", "Cl", "Cl", "Cl", "Cl", "Cl", "Cl", "Cl", "Cl", "Cl", "Cl"], "frac_coords": [[0.173, 0.006, 0.020], [0.173, 0.494, 0.020], [0.327, 0.506, 0.520], [0.327, 0.994, 0.520], [0.673, 0.006, 0.480], [0.673, 0.494, 0.480], [0.827, 0.506, 0.980], [0.827, 0.994, 0.980], [0.003, 0.750, 0.574], [0.497, 0.250, 0.074], [0.503, 0.750, 0.926], [0.997, 0.250, 0.426], [0.005, 0.750, 0.938], [0.093, 0.042, 0.662], [0.093, 0.458, 0.662], [0.182, 0.750, 0.362], [0.212, 0.250, 0.320], [0.288, 0.750, 0.820], [0.318, 0.250, 0.862], [0.407, 0.542, 0.162], [0.407, 0.958, 0.162], [0.495, 0.250, 0.438], [0.505, 0.750, 0.562], [0.593, 0.042, 0.838], [0.593, 0.458, 0.838], [0.682, 0.750, 0.138], [0.712, 0.250, 0.180], [0.788, 0.750, 0.680], [0.818, 0.250, 0.638], [0.907, 0.542, 0.338], [0.907, 0.958, 0.338], [0.995, 0.250, 0.062]]}



3.
{"formula": "NaAs3Ir", "functional": "PBE", "state": "relaxed", "delta_e_f_ev_per_atom": 0.3463, "dft_energy_ev_per_cell": -22.40, "polymorph_energy_mev_per_atom": 0, "cell": [[4.941, 0.000, 0.000], [0.000, 4.941, 0.000], [0.000, 0.000, 4.941]], "species": ["Na", "As", "As", "As", "Ir"], "frac_coords": [[0.000, 0.000, 0.000], [0.000, 0.500, 0.500], [0.500, 0.000, 0.500], [0.500, 0.500, 0.000], [0.500, 0.500, 0.500]]}



4.
{"formula": "BaZn3B", "functional": "PBE", "state": "relaxed", "delta_e_f_ev_per_atom": 1.7875, "dft_energy_ev_per_cell": -3.48, "polymorph_energy_mev_per_atom": 1440, "cell": [[6.339, 0.000, 0.000], [0.000, 6.339, 0.000], [0.000, 0.000, 6.339]], "species": ["Ba", "Zn", "Zn", "Zn", "B"], "frac_coords": [[0.000, 0.000, 0.000], [0.000, 0.000, 0.500], [0.000, 0.500, 0.000], [0.500, 0.000, 0.000], [0.500, 0.500, 0.500]]}



5.
{"formula": "AlRe2Rh", "functional": "PBE", "state": "relaxed", "delta_e_f_ev_per_atom": 0.1123, "dft_energy_ev_per_cell": -35.54, "cell": [[4.614, 0.000, 0.000], [0.000, 4.614, 0.000], [0.000, 0.000, 2.750]], "species": ["Al", "Re", "Re", "Rh"], "frac_coords": [[0.000, 0.000, 0.000], [0.000, 0.500, 0.500], [0.500, 0.000, 0.500], [0.500, 0.500, 0.000]]}



6.
{"formula": "VRe2H2", "functional": "PBE", "state": "relaxed", "dft_energy_ev_per_cell": -73.57, "polymorph_energy_mev_per_atom": 597, "cell": [[6.602, 0.000, 0.000], [0.000, 6.602, 0.000], [0.000, 0.000, 2.592]], "species": ["V", "V", "Re", "Re", "Re", "Re", "H", "H", "H", "H"], "frac_coords": [[0.000, 0.000, 0.000], [0.500, 0.500, 0.000], [0.134, 0.366, 0.000], [0.366, 0.866, 0.000], [0.634, 0.134, 0.000], [0.866, 0.634, 0.000], [0.226, 0.726, 0.500], [0.274, 0.226, 0.500], [0.726, 0.774, 0.500], [0.774, 0.274, 0.500]]}



7.
{"formula": "Sr3YPa2N6", "functional": "PBE", "state": "relaxed", "formation_energy_uncorrected_mev_per_atom": -1387, "dft_energy_ev_per_cell": -97.10, "cell": [[3.115, -5.394, 0.000], [3.115, 5.394, 0.000], [-2.076, 0.000, 6.016]], "species": ["Sr", "Sr", "Sr", "Y", "Pa", "Pa", "N", "N", "N", "N", "N", "N"], "frac_coords": [[0.000, 0.000, 0.000], [0.336, 0.664, 0.000], [0.664, 0.336, 0.000], [0.500, 0.500, 0.500], [0.167, 0.833, 0.500], [0.833, 0.167, 0.500], [0.084, 0.433, 0.300], [0.217, 0.217, 0.700], [0.433, 0.084, 0.300], [0.567, 0.916, 0.700], [0.783, 0.783, 0.300], [0.916, 0.567, 0.700]]}



8.
{"formula": "KNa2PaSe4", "functional": "PBE", "state": "relaxed", "formation_energy_uncorrected_mev_per_atom": -1135, "dft_energy_ev_per_cell": -36.25, "cell": [[-3.877, 3.877, 4.385], [3.877, -3.877, 4.385], [3.877, 3.877, -4.385]], "species": ["K", "Na", "Na", "Pa", "Se", "Se", "Se", "Se"], "frac_coords": [[0.000, 0.000, 0.000], [0.250, 0.750, 0.500], [0.750, 0.250, 0.500], [0.500, 0.500, 0.000], [0.136, 0.552, 0.000], [0.448, 0.448, 0.583], [0.552, 0.136, 0.000], [0.864, 0.864, 0.417]]}



9.
{"formula": "YErHgPt", "functional": "PBE", "state": "relaxed", "delta_e_f_ev_per_atom": -0.8309, "dft_energy_ev_per_cell": -20.69, "polymorph_energy_mev_per_atom": 44, "cell": [[0.000, 3.590, 3.590], [3.590, 0.000, 3.590], [3.590, 3.590, 0.000]], "species": ["Y", "Er", "Hg", "Pt"], "frac_coords": [[0.000, 0.000, 0.000], [0.500, 0.500, 0.500], [0.250, 0.250, 0.250], [0.750, 0.750, 0.750]]}



10.
{"formula": "Tb4Pr3Tm2", "functional": "PBE", "state": "relaxed", "delta_e_f_ev_per_atom": 0.0195, "dft_energy_ev_per_cell": -41.63, "polymorph_energy_mev_per_atom": 0, "cell": [[6.212, 0.000, 0.000], [-3.100, 5.395, 0.000], [-0.032, -3.558, 8.822]], "species": ["Tb", "Tb", "Tb", "Tb", "Pr", "Pr", "Pr", "Tm", "Tm"], "frac_coords": [[0.164, 0.331, 0.000], [0.276, 0.886, 0.334], [0.724, 0.114, 0.666], [0.836, 0.669, 0.000], [0.388, 0.443, 0.666], [0.500, 0.000, 0.000], [0.612, 0.557, 0.334], [0.055, 0.776, 0.666], [0.945, 0.224, 0.334]]}



11.
{"formula": "Tb8Sm3Y3", "functional": "PBE", "state": "relaxed", "delta_e_f_ev_per_atom": 0.1089, "dft_energy_ev_per_cell": -69.07, "cell": [[-2.831, 5.439, 7.496], [2.831, -5.439, 7.496], [2.831, 5.439, -7.496]], "species": ["Tb", "Tb", "Tb", "Tb", "Tb", "Tb", "Tb", "Tb", "Sm", "Sm", "Sm", "Y", "Y", "Y"], "frac_coords": [[0.055, 0.897, 0.159], [0.063, 0.722, 0.341], [0.262, 0.103, 0.159], [0.382, 0.722, 0.659], [0.618, 0.278, 0.341], [0.738, 0.897, 0.841], [0.937, 0.278, 0.659], [0.945, 0.103, 0.841], [0.317, 0.317, 0.000], [0.500, 0.000, 0.500], [0.683, 0.683, 0.000], [0.000, 0.500, 0.500], [0.299, 0.500, 0.799], [0.701, 0.500, 0.201]]}



12.
{"formula": "Pm5Pd2Pb5", "functional": "PBE", "state": "relaxed", "delta_e_f_ev_per_atom": -0.6020, "dft_energy_ev_per_cell": -59.90, "cell": [[8.382, -2.383, 0.000], [8.382, 2.383, 0.000], [-6.878, 0.000, 8.296]], "species": ["Pm", "Pm", "Pm", "Pm", "Pm", "Pd", "Pd", "Pb", "Pb", "Pb", "Pb", "Pb"], "frac_coords": [[0.000, 0.000, 0.000], [0.130, 0.130, 0.832], [0.174, 0.174, 0.519], [0.826, 0.826, 0.481], [0.870, 0.870, 0.168], [0.351, 0.351, 0.945], [0.649, 0.649, 0.055], [0.249, 0.249, 0.228], [0.446, 0.446, 0.749], [0.500, 0.500, 0.500], [0.554, 0.554, 0.251], [0.751, 0.751, 0.772]]}



13.
{"formula": "Rb2Er3Te6", "functional": "PBE", "state": "relaxed", "formation_energy_uncorrected_mev_per_atom": -1282, "dft_energy_ev_per_cell": -48.57, "cell": [[3.753, -6.501, 0.000], [3.753, 6.501, 0.000], [-2.507, 0.000, 8.963]], "species": ["Rb", "Rb", "Er", "Er", "Er", "Te", "Te", "Te", "Te", "Te", "Te"], "frac_coords": [[0.166, 0.834, 0.000], [0.834, 0.166, 0.000], [0.000, 0.000, 0.500], [0.332, 0.668, 0.500], [0.668, 0.332, 0.500], [0.069, 0.400, 0.699], [0.270, 0.270, 0.302], [0.400, 0.069, 0.699], [0.600, 0.931, 0.301], [0.730, 0.730, 0.698], [0.931, 0.600, 0.301]]}



14.
{"formula": "Pm3Dy5S8", "functional": "PBE", "state": "relaxed", "formation_energy_uncorrected_mev_per_atom": -2005, "dft_energy_ev_per_cell": -102.36, "cell": [[3.946, 2.278, 6.490], [-3.946, 2.278, 6.490], [0.000, -4.556, 6.490]], "species": ["Pm", "Pm", "Pm", "Dy", "Dy", "Dy", "Dy", "Dy", "S", "S", "S", "S", "S", "S", "S", "S"], "frac_coords": [[0.000, 0.500, 0.500], [0.500, 0.000, 0.500], [0.500, 0.500, 0.000], [0.000, 0.000, 0.000], [0.000, 0.000, 0.500], [0.000, 0.500, 0.000], [0.500, 0.000, 0.000], [0.500, 0.500, 0.500], [0.242, 0.750, 0.750], [0.246, 0.246, 0.246], [0.250, 0.250, 0.758], [0.250, 0.758, 0.250], [0.750, 0.242, 0.750], [0.750, 0.750, 0.242], [0.754, 0.754, 0.754], [0.758, 0.250, 0.250]]}



15.
{"formula": "PrNbClO4", "functional": "PBE", "state": "relaxed", "formation_energy_uncorrected_mev_per_atom": -2426, "dft_energy_ev_per_cell": -107.02, "cell": [[5.716, -3.701, 0.000], [5.716, 3.701, 0.000], [-1.568, 0.000, 6.938]], "species": ["Pr", "Pr", "Nb", "Nb", "Cl", "Cl", "O", "O", "O", "O", "O", "O", "O", "O"], "frac_coords": [[0.250, 0.250, 0.121], [0.750, 0.750, 0.879], [0.370, 0.370, 0.728], [0.630, 0.630, 0.272], [0.014, 0.014, 0.824], [0.986, 0.986, 0.176], [0.120, 0.497, 0.853], [0.309, 0.309, 0.461], [0.461, 0.461, 0.220], [0.497, 0.120, 0.853], [0.503, 0.880, 0.147], [0.539, 0.539, 0.780], [0.691, 0.691, 0.539], [0.880, 0.503, 0.147]]}



16.
{"formula": "Re4SbOs", "functional": "PBE", "state": "relaxed", "formation_energy_uncorrected_mev_per_atom": 860, "dft_energy_ev_per_cell": -59.99, "cell": [[0.000, 3.689, 3.689], [3.689, 0.000, 3.689], [3.689, 3.689, 0.000]], "species": ["Re", "Re", "Re", "Re", "Sb", "Os"], "frac_coords": [[0.376, 0.376, 0.376], [0.376, 0.376, 0.873], [0.376, 0.873, 0.376], [0.873, 0.376, 0.376], [0.000, 0.000, 0.000], [0.750, 0.750, 0.750]]}



17.
{"formula": "HfCdSeS2", "functional": "PBE", "state": "relaxed", "formation_energy_uncorrected_mev_per_atom": 832, "dft_energy_ev_per_cell": -18.45, "cell": [[4.643, 0.000, 0.000], [0.000, 4.643, 0.000], [0.000, 0.000, 6.005]], "species": ["Hf", "Cd", "Se", "S", "S"], "frac_coords": [[0.000, 0.000, 0.000], [0.000, 0.000, 0.500], [0.500, 0.500, 0.000], [0.000, 0.500, 0.500], [0.500, 0.000, 0.500]]}



18.
{"formula": "K2BaTc", "functional": "PBE", "state": "relaxed", "delta_e_f_ev_per_atom": 1.1974, "dft_energy_ev_per_cell": -9.69, "polymorph_energy_mev_per_atom": 323, "cell": [[4.021, 0.000, 0.000], [0.000, 4.021, 0.000], [0.000, 0.000, 11.669]], "species": ["K", "K", "Ba", "Tc"], "frac_coords": [[0.000, 0.000, 0.184], [0.000, 0.000, 0.816], [0.500, 0.500, 0.500], [0.500, 0.500, 0.000]]}



19.
{"formula": "Rh3W4", "functional": "PBE", "state": "relaxed", "delta_e_f_ev_per_atom": 0.0784, "dft_energy_ev_per_cell": -73.32, "polymorph_energy_mev_per_atom": 0, "cell": [[5.046, 0.000, 0.000], [-2.523, 4.370, 0.000], [0.000, 0.000, 4.907]], "species": ["Rh", "Rh", "Rh", "W", "W", "W", "W"], "frac_coords": [[0.000, 0.500, 0.000], [0.500, 0.000, 0.000], [0.500, 0.500, 0.000], [0.000, 0.000, 0.257], [0.000, 0.000, 0.743], [0.333, 0.667, 0.500], [0.667, 0.333, 0.500]]}



20.
{"formula": "Li3La2Mg12Ag", "functional": "PBE", "state": "relaxed", "delta_e_f_ev_per_atom": 0.0927, "dft_energy_ev_per_cell": -35.91, "cell": [[3.288, 1.898, 12.891], [-3.288, 1.898, 12.891], [0.000, -3.797, 12.891]], "species": ["Li", "Li", "Li", "La", "La", "Mg", "Mg", "Mg", "Mg", "Mg", "Mg", "Mg", "Mg", "Mg", "Mg", "Mg", "Mg", "Ag"], "frac_coords": [[0.000, 0.500, 0.500], [0.500, 0.000, 0.500], [0.500, 0.500, 0.000], [0.141, 0.141, 0.141], [0.859, 0.859, 0.859], [0.099, 0.099, 0.632], [0.099, 0.632, 0.099], [0.115, 0.617, 0.617], [0.368, 0.901, 0.901], [0.383, 0.383, 0.885], [0.383, 0.885, 0.383], [0.617, 0.115, 0.617], [0.617, 0.617, 0.115], [0.632, 0.099, 0.099], [0.885, 0.383, 0.383], [0.901, 0.368, 0.901], [0.901, 0.901, 0.368], [0.500, 0.500, 0.500]]}



In the order shown, the computed size of the total moment values come out to 0.59 20.00 0.00 2.47 0.00 0.00 0.00 0.00 0.00 0.00 0.00 0.00 0.00 0.00 1.94 0.00 0.00 3.40 0.00 0.00 μB per cell.